No. 1
# IrPbCl2

An optimized crystal structure of IrPbCl2 (PBE, Alexandria via LeMat-Bulk).

Properties
Formation energy from raw total energies = 0.24 eV/atom
Energy = -3.82 eV/atom
Spin magnetization = 0.68 μB/cell
Space-group type = No. 166
E above lowest polymorph = 0.3420 eV/atom

Cell lengths 9.3071, 9.3071, 9.3071 Å; angles 22.14, 22.14, 22.14 degrees
Site moments in Bohr magnetons follow the coordinates.
Fractional coordinates of all 4 atoms:
Cl1 0.9653 0.9653 0.9653  0.06
Cl2 0.5347 0.5347 0.5347  0.06
Ir1 0.2500 0.2500 0.2500  0.48
Pb1 0.7500 0.7500 0.7500  0.00



No. 2
# In2Pb3

An optimized crystal structure of In2Pb3 (PBE, Alexandria via LeMat-Bulk).

Properties
Energy = -3.29 eV/atom
Spin magnetization = 0.00 μB/cell
Space-group type = No. 166
E above lowest polymorph = 0.0000 eV/atom

Cell lengths 14.8178, 14.8178, 14.8178 Å; angles 13.35, 13.35, 13.35 degrees
Fractional coordinates of all 5 atoms:
Pb1 0.0000 0.0000 0.0000
Pb2 0.2024 0.2024 0.2024
Pb3 0.7976 0.7976 0.7976
In1 0.6008 0.6008 0.6008
In2 0.3992 0.3992 0.3992



No. 3
# BaUIn2Br8

An optimized crystal structure of BaUIn2Br8 (PBE, Alexandria via LeMat-Bulk).

Properties
Formation energy from raw total energies = -1.30 eV/atom
Energy = -3.97 eV/atom
Spin magnetization = 2.00 μB/cell
Space-group type = No. 2

Cell lengths 7.4404, 7.3992, 9.4175 Å; angles 89.82, 90.06, 91.87 degrees
Site moments in Bohr magnetons follow the coordinates.
Fractional coordinates of all 12 atoms:
Br1 0.8663 0.2238 0.2174  -0.02
Br2 0.8652 0.2232 0.7811  -0.02
Br3 0.6507 0.7329 0.5007  0.00
Br4 0.6850 0.7997 0.9991  -0.04
Br5 0.1348 0.7768 0.2189  -0.02
Br6 0.3150 0.2003 0.0009  -0.04
Br7 0.1337 0.7762 0.7826  -0.02
Br8 0.3493 0.2671 0.4993  0.00
In1 0.4992 0.4980 0.7458  -0.01
In2 0.5008 0.5020 0.2542  -0.01
U1 0.0000 0.0000 0.0000  2.12
Ba1 0.0000 0.0000 0.5000  0.00



No. 4
# LaAl2Zn9

An optimized crystal structure of LaAl2Zn9 (PBE, Alexandria via LeMat-Bulk).

Properties
Energy = -2.18 eV/atom
Spin magnetization = 0.00 μB/cell
Space-group type = No. 141
E above lowest polymorph = 0.0000 eV/atom

Cell lengths 7.0926, 8.3367, 8.3367 Å; angles 79.57, 64.83, 64.83 degrees
Fractional coordinates of all 24 atoms:
Zn1 0.6708 0.5841 0.1726
Zn2 0.0049 0.9159 0.6726
Zn3 0.1566 0.1726 0.4159
Zn4 0.0792 0.9159 0.3274
Zn5 0.4275 0.4159 0.8274
Zn6 0.7451 0.8274 0.5841
Zn7 0.5934 0.3274 0.0841
Zn8 0.7500 0.5000 0.5000
Zn9 0.3225 0.0841 0.6726
Zn10 0.6708 0.1726 0.5841
Zn11 0.0049 0.6726 0.9159
Zn12 0.7451 0.5841 0.8274
Zn13 0.1566 0.4159 0.1726
Zn14 0.0792 0.3274 0.9159
Zn15 0.0000 0.0000 0.0000
Zn16 0.4275 0.8274 0.4159
Zn17 0.5934 0.0841 0.3274
Zn18 0.3225 0.6726 0.0841
Al1 0.8750 0.7500 0.2500
Al2 0.3750 0.7500 0.7500
Al3 0.8750 0.2500 0.7500
Al4 0.8750 0.2500 0.2500
La1 0.5000 0.0000 0.0000
La2 0.2500 0.5000 0.5000



No. 5
# CsBaP2O

An optimized crystal structure of CsBaP2O (PBE, Alexandria via LeMat-Bulk).

Properties
Formation energy from raw total energies = 0.49 eV/atom
Energy = -3.22 eV/atom
Spin magnetization = 1.45 μB/cell
Space-group type = No. 123
E above lowest polymorph = 0.3677 eV/atom

Cell lengths 5.6416, 5.6416, 4.6586 Å; angles 90.00, 90.00, 90.00 degrees
Site moments in Bohr magnetons follow the coordinates.
Fractional coordinates of all 5 atoms:
Ba1 0.5000 0.5000 0.5000  0.02
O1 0.0000 0.0000 0.5000  0.22
P1 0.0000 0.5000 0.0000  0.24
P2 0.5000 0.0000 0.0000  0.24
Cs1 0.0000 0.0000 0.0000  0.00



No. 6
# YTlHg2

An optimized crystal structure of YTlHg2 (PBE, Alexandria via LeMat-Bulk).

Properties
Energy = -2.55 eV/atom
Spin magnetization = 0.00 μB/cell
Space-group type = No. 10

Cell lengths 5.2338, 3.6556, 5.6354 Å; angles 87.47, 90.00, 90.00 degrees
Fractional coordinates of all 4 atoms:
Y1 0.5000 0.7500 0.7500
Tl1 0.5000 0.2500 0.2500
Hg1 0.0000 0.4774 0.5089
Hg2 0.0000 0.0226 0.9911



No. 7
# CeDy2HfAs4

An optimized crystal structure of CeDy2HfAs4 (PBE, Alexandria via LeMat-Bulk).

Properties
Energy = -6.82 eV/atom
Spin magnetization = 0.64 μB/cell
Space-group type = No. 10

Cell lengths 4.0613, 7.0332, 7.0312 Å; angles 109.28, 90.00, 90.00 degrees
Site moments in Bohr magnetons follow the coordinates.
Fractional coordinates of all 8 atoms:
Ce1 0.5000 0.5000 0.0000  0.51
As1 0.5000 0.2355 0.2384  0.00
As2 0.0000 0.2395 0.7535  -0.01
As3 0.0000 0.7605 0.2465  -0.01
As4 0.5000 0.7645 0.7616  0.00
Dy1 0.0000 0.5000 0.5000  0.01
Dy2 0.5000 0.0000 0.5000  0.02
Hf1 0.0000 0.0000 0.0000  0.02



No. 8
# Tb7PmSm12

An optimized crystal structure of Tb7PmSm12 (PBE, Alexandria via LeMat-Bulk).

Properties
Energy = -4.03 eV/atom
Spin magnetization = 0.00 μB/cell
Space-group type = No. 229
E above lowest polymorph = 0.4997 eV/atom

Cell lengths 9.9309, 9.9309, 9.9309 Å; angles 109.47, 109.47, 109.47 degrees
Fractional coordinates of all 20 atoms:
Tb1 0.5000 0.5000 0.0000
Tb2 0.5000 0.0000 0.5000
Tb3 0.0000 0.5000 0.0000
Tb4 0.5000 0.0000 0.0000
Tb5 0.0000 0.0000 0.5000
Tb6 0.0000 0.5000 0.5000
Tb7 0.5000 0.5000 0.5000
Sm1 0.5040 0.2520 0.2521
Sm2 0.2520 0.7479 0.9999
Sm3 0.4960 0.7480 0.7479
Sm4 0.9999 0.2520 0.7479
Sm5 0.0001 0.7480 0.2521
Sm6 0.2520 0.2521 0.5040
Sm7 0.7480 0.2521 0.0001
Sm8 0.7479 0.4960 0.7480
Sm9 0.7479 0.9999 0.2520
Sm10 0.7480 0.7479 0.4960
Sm11 0.2521 0.0001 0.7480
Sm12 0.2521 0.5040 0.2520
Pm1 0.0000 0.0000 0.0000



No. 9
# Dy12Y3Cd

An optimized crystal structure of Dy12Y3Cd (PBE, Alexandria via LeMat-Bulk).

Properties
Energy = -4.72 eV/atom
Spin magnetization = 0.00 μB/cell
Space-group type = No. 123

Cell lengths 4.9627, 4.9627, 20.0908 Å; angles 90.00, 90.00, 90.00 degrees
Fractional coordinates of all 16 atoms:
Cd1 0.0000 0.0000 0.0000
Dy1 0.0000 0.5000 0.1210
Dy2 0.5000 0.5000 0.7556
Dy3 0.0000 0.5000 0.8790
Dy4 0.5000 0.5000 0.0000
Dy5 0.5000 0.0000 0.8790
Dy6 0.5000 0.0000 0.1210
Dy7 0.5000 0.0000 0.6267
Dy8 0.5000 0.5000 0.5000
Dy9 0.5000 0.5000 0.2444
Dy10 0.0000 0.5000 0.6267
Dy11 0.5000 0.0000 0.3733
Dy12 0.0000 0.5000 0.3733
Y1 0.0000 0.0000 0.2475
Y2 0.0000 0.0000 0.5000
Y3 0.0000 0.0000 0.7525



No. 10
# Dy2YSi2Rh5

An optimized crystal structure of Dy2YSi2Rh5 (PBE, Alexandria via LeMat-Bulk).

Properties
Formation energy from raw total energies = -1.00 eV/atom
Energy = -7.32 eV/atom
Spin magnetization = 0.00 μB/cell
Space-group type = No. 127

Cell lengths 3.5405, 9.9898, 9.9898 Å; angles 90.00, 90.00, 90.00 degrees
Fractional coordinates of all 20 atoms:
Rh1 0.5000 0.7227 0.4298
Rh2 0.5000 0.9298 0.2227
Rh3 0.5000 0.2227 0.0702
Rh4 0.5000 0.0000 0.5000
Rh5 0.5000 0.4298 0.2773
Rh6 0.5000 0.5000 0.0000
Rh7 0.5000 0.0702 0.7773
Rh8 0.5000 0.5702 0.7227
Rh9 0.5000 0.2773 0.5702
Rh10 0.5000 0.7773 0.9298
Dy1 0.0000 0.1739 0.3261
Dy2 0.0000 0.3261 0.8261
Dy3 0.0000 0.6739 0.1739
Dy4 0.0000 0.8261 0.6739
Si1 0.0000 0.3774 0.1226
Si2 0.0000 0.8774 0.3774
Si3 0.0000 0.6226 0.8774
Si4 0.0000 0.1226 0.6226
Y1 0.0000 0.5000 0.5000
Y2 0.0000 0.0000 0.0000



No. 11
# Sm2Co3Sn5

An optimized crystal structure of Sm2Co3Sn5 (PBE, Alexandria via LeMat-Bulk).

Properties
Energy = -5.45 eV/atom
Spin magnetization = 1.71 μB/cell
Space-group type = No. 72
E above lowest polymorph = 0.0137 eV/atom

Cell lengths 6.2816, 8.7952, 8.7952 Å; angles 72.94, 69.08, 69.08 degrees
Site moments in Bohr magnetons follow the coordinates.
Fractional coordinates of all 20 atoms:
Sn1 0.4737 0.7763 0.7763  0.00
Sn2 0.5825 0.7442 0.0908  -0.01
Sn3 0.2500 0.5000 0.5000  -0.01
Sn4 0.4175 0.2558 0.9092  -0.01
Sn5 0.9175 0.9092 0.2558  -0.01
Sn6 0.9737 0.7763 0.7763  0.00
Sn7 0.5263 0.2237 0.2237  0.00
Sn8 0.0825 0.0908 0.7442  -0.01
Sn9 0.0263 0.2237 0.2237  0.00
Sn10 0.7500 0.5000 0.5000  -0.01
Co1 0.8584 0.7431 0.5400  0.10
Co2 0.7500 0.0000 0.0000  0.70
Co3 0.1416 0.2569 0.4600  0.10
Co4 0.2500 0.0000 0.0000  0.70
Co5 0.3584 0.5400 0.7431  0.10
Co6 0.6416 0.4600 0.2569  0.10
Sm1 0.8512 0.4169 0.8807  0.01
Sm2 0.1488 0.5831 0.1193  0.01
Sm3 0.3512 0.8807 0.4169  0.01
Sm4 0.6488 0.1193 0.5831  0.01



No. 12
# CrTcRh4

An optimized crystal structure of CrTcRh4 (PBE, Alexandria via LeMat-Bulk).

Properties
Energy = -8.36 eV/atom
Spin magnetization = 0.00 μB/cell
Space-group type = No. 6
E above lowest polymorph = 0.0000 eV/atom

Cell lengths 2.7141, 4.3138, 7.1843 Å; angles 90.00, 101.00, 90.00 degrees
Fractional coordinates of all 6 atoms:
Cr1 0.6167 0.0027 0.4775
Rh1 0.9521 0.0027 0.1478
Rh2 0.7243 0.5027 0.6948
Rh3 0.2766 0.0027 0.7981
Rh4 0.0589 0.5027 0.3652
Tc1 0.3905 0.5027 0.0278



No. 13
# YGaRu3

An optimized crystal structure of YGaRu3 (PBE, Alexandria via LeMat-Bulk).

Properties
Energy = -6.94 eV/atom
Spin magnetization = 0.02 μB/cell
Space-group type = No. 221
E above lowest polymorph = 0.0000 eV/atom

Cell lengths 4.5590, 4.5590, 4.5590 Å; angles 90.00, 90.00, 90.00 degrees
Fractional coordinates of all 5 atoms:
Y1 0.5000 0.5000 0.5000
Ru1 0.0000 0.0000 0.5000
Ru2 0.0000 0.5000 0.0000
Ru3 0.5000 0.0000 0.0000
Ga1 0.0000 0.0000 0.0000



No. 14
# CoBi

An optimized crystal structure of CoBi (PBE, Alexandria via LeMat-Bulk).

Properties
Energy = -5.02 eV/atom
Spin magnetization = 5.93 μB/cell
Space-group type = No. 176

Cell lengths 9.9201, 9.9201, 3.8215 Å; angles 90.00, 90.00, 120.00 degrees
Site moments in Bohr magnetons follow the coordinates.
Fractional coordinates of all 12 atoms:
Bi1 0.7507 0.5889 0.2500  -0.07
Bi2 0.5889 0.8382 0.7500  -0.07
Bi3 0.4111 0.1618 0.2500  -0.07
Bi4 0.2493 0.4111 0.7500  -0.07
Bi5 0.1618 0.7507 0.7500  -0.07
Bi6 0.8382 0.2493 0.2500  -0.07
Co1 0.0075 0.4376 0.7500  1.06
Co2 0.5624 0.5699 0.7500  1.06
Co3 0.5699 0.0075 0.2500  1.06
Co4 0.4301 0.9925 0.7500  1.06
Co5 0.9925 0.5624 0.2500  1.06
Co6 0.4376 0.4301 0.2500  1.06



No. 15
# Nd5HgAu2

An optimized crystal structure of Nd5HgAu2 (PBE, Alexandria via LeMat-Bulk).

Properties
Energy = -4.34 eV/atom
Spin magnetization = 0.00 μB/cell
Space-group type = No. 140
E above lowest polymorph = 0.0000 eV/atom

Cell lengths 8.4070, 8.4070, 8.8558 Å; angles 118.34, 118.34, 90.00 degrees
Fractional coordinates of all 16 atoms:
Au1 0.6336 0.1336 0.0000
Au2 0.1336 0.3664 0.0000
Au3 0.3664 0.8664 0.0000
Au4 0.8664 0.6336 0.0000
Nd1 0.1979 0.0109 0.7088
Nd2 0.9891 0.4891 0.2912
Nd3 0.5109 0.6979 0.7088
Nd4 0.0000 0.0000 0.0000
Nd5 0.3021 0.8021 0.2912
Nd6 0.6979 0.1979 0.7088
Nd7 0.5000 0.5000 0.0000
Nd8 0.8021 0.9891 0.2912
Nd9 0.0109 0.5109 0.7088
Nd10 0.4891 0.3021 0.2912
Hg1 0.7500 0.7500 0.5000
Hg2 0.2500 0.2500 0.5000



No. 16
# Y4Ho9Zn11

An optimized crystal structure of Y4Ho9Zn11 (PBE, Alexandria via LeMat-Bulk).

Properties
Energy = -3.63 eV/atom
Spin magnetization = 0.02 μB/cell
Space-group type = No. 65

Cell lengths 3.4332, 13.0598, 13.0598 Å; angles 107.56, 90.00, 90.00 degrees
Fractional coordinates of all 24 atoms:
Zn1 0.0000 0.0000 0.0000
Zn2 0.0000 0.2132 0.2132
Zn3 0.0000 0.1768 0.8232
Zn4 0.0000 0.6305 0.3695
Zn5 0.0000 0.9485 0.5834
Zn6 0.0000 0.3695 0.6305
Zn7 0.0000 0.8232 0.1768
Zn8 0.0000 0.5834 0.9485
Zn9 0.0000 0.4166 0.0515
Zn10 0.0000 0.0515 0.4166
Zn11 0.0000 0.7868 0.7868
Y1 0.5000 0.5834 0.7558
Y2 0.5000 0.7558 0.5834
Y3 0.5000 0.4166 0.2442
Y4 0.5000 0.2442 0.4166
Ho1 0.5000 0.9796 0.7955
Ho2 0.5000 0.8508 0.3772
Ho3 0.5000 0.3772 0.8508
Ho4 0.5000 0.7955 0.9796
Ho5 0.5000 0.2045 0.0204
Ho6 0.5000 0.1492 0.6228
Ho7 0.5000 0.6228 0.1492
Ho8 0.5000 0.0204 0.2045
Ho9 0.5000 0.5000 0.5000



No. 17
# SrSiAg

An optimized crystal structure of SrSiAg (PBE, Alexandria via LeMat-Bulk).

Properties
Formation energy from raw total energies = -0.29 eV/atom
Energy = -3.61 eV/atom
Spin magnetization = 0.00 μB/cell
Space-group type = No. 63

Cell lengths 3.9150, 4.5155, 8.7011 Å; angles 105.04, 90.00, 90.00 degrees
Fractional coordinates of all 6 atoms:
Si1 0.7500 0.4590 0.9179
Si2 0.2500 0.5410 0.0821
Sr1 0.2500 0.8925 0.7851
Sr2 0.7500 0.1075 0.2149
Ag1 0.7500 0.2965 0.5929
Ag2 0.2500 0.7035 0.4071



No. 18
# NdTmAg2Te4

An optimized crystal structure of NdTmAg2Te4 (PBE, Alexandria via LeMat-Bulk).

Properties
Formation energy from raw total energies = -0.71 eV/atom
Energy = -4.15 eV/atom
Spin magnetization = 0.00 μB/cell
Space-group type = No. 23

Cell lengths 7.5179, 7.0854, 7.0854 Å; angles 77.56, 57.96, 57.96 degrees
Fractional coordinates of all 8 atoms:
Ag1 0.1856 0.3144 0.3144
Ag2 0.8144 0.6856 0.6856
Te1 0.9448 0.4520 0.0880
Te2 0.0552 0.9120 0.5480
Te3 0.4847 0.5480 0.9120
Te4 0.5153 0.0880 0.4520
Nd1 0.0000 0.0000 0.0000
Tm1 0.5000 0.5000 0.5000



No. 19
# Dy2ErPaSe4

An optimized crystal structure of Dy2ErPaSe4 (PBE, Alexandria via LeMat-Bulk).

Properties
Formation energy from raw total energies = -1.58 eV/atom
Energy = -6.23 eV/atom
Spin magnetization = 0.35 μB/cell
Space-group type = No. 10

Cell lengths 4.0164, 7.0337, 7.0914 Å; angles 71.17, 90.00, 90.00 degrees
Site moments in Bohr magnetons follow the coordinates.
Fractional coordinates of all 8 atoms:
Dy1 0.5000 0.0000 0.5000  0.01
Dy2 0.0000 0.0000 0.0000  -0.01
Se1 0.5000 0.7520 0.2455  0.00
Se2 0.0000 0.7487 0.7537  0.00
Se3 0.5000 0.2480 0.7545  0.00
Se4 0.0000 0.2513 0.2463  0.00
Pa1 0.0000 0.5000 0.5000  0.30
Er1 0.5000 0.5000 0.0000  0.01



No. 20
# PuTiSi

An optimized crystal structure of PuTiSi (PBE, Alexandria via LeMat-Bulk).

Properties
Formation energy from raw total energies = -0.24 eV/atom
Energy = -9.46 eV/atom
Spin magnetization = 5.28 μB/cell
Space-group type = No. 107

Cell lengths 3.4960, 3.4960, 5.2564 Å; angles 109.42, 109.42, 90.00 degrees
Site moments in Bohr magnetons follow the coordinates.
Fractional coordinates of all 3 atoms:
Pu1 0.9377 0.9377 0.8754  5.12
Ti1 0.6571 0.6571 0.3143  -0.01
Si1 0.2552 0.2552 0.5103  -0.04